No. 1
Computed, not measured: a PBEsol-optimized structure of RePRu2 at the meta-GGA SCAN level of DFT.

ΔE_f: 0.358 eV/atom
V: 54.4 Å³/cell

Unit cell a=2.785 b=4.420 c=4.420 alpha=90.00 beta=90.00 gamma=90.00
Last column: magnetic moment on the atom in μB.
Atoms (fractional coordinates):
P1 0.500 0.500 0.500  0.04
Re1 0.500 0.000 0.000  0.07
Ru1 0.000 0.000 0.500  0.55
Ru2 0.000 0.500 0.000  0.55

---

No. 2
Computed, not measured: a PBEsol-optimized structure of ReP2Ru at the meta-GGA SCAN level of DFT.

ΔE_f: -0.226 eV/atom
V: 51.6 Å³/cell
Energy above the most stable polymorph in this dataset: 0 meV per atom

Unit cell a=2.967 b=4.331 c=4.401 alpha=103.46 beta=109.70 gamma=90.00
Atoms (fractional coordinates):
P1 0.004 0.044 0.007
P2 0.243 0.699 0.487
Re1 0.508 0.588 0.015
Ru1 0.745 0.169 0.491

---

No. 3
Computed, not measured: a PBEsol-optimized structure of ReP2S2 at the meta-GGA SCAN level of DFT.

Uncorrected formation energy: 0.591 eV per atom
V: 158.3 Å³/cell

Unit cell a=4.251 b=6.103 c=6.103 alpha=90.00 beta=90.00 gamma=90.00
Atoms (fractional coordinates):
Re1 0.000 0.000 0.000
Re2 0.000 0.500 0.500
S1 0.500 0.282 0.782
S2 0.500 0.782 0.718
S3 0.500 0.718 0.218
S4 0.500 0.218 0.282
P1 0.000 0.369 0.869
P2 0.000 0.869 0.631
P3 0.000 0.631 0.131
P4 0.000 0.131 0.369

---

No. 4
Computed, not measured: a PBEsol-optimized structure of RePS3 at the meta-GGA SCAN level of DFT.

Uncorrected formation energy: 1.366 eV per atom
V: 75.9 Å³/cell

Unit cell a=4.234 b=4.234 c=4.234 alpha=90.00 beta=90.00 gamma=90.00
Atoms (fractional coordinates):
Re1 0.500 0.500 0.500
S1 0.000 0.500 0.000
S2 0.000 0.000 0.500
S3 0.500 0.000 0.000
P1 0.000 0.000 0.000

---

No. 5
Computed, not measured: a PBEsol-optimized structure of ScRePS2 at the meta-GGA SCAN level of DFT.

Uncorrected formation energy: 0.840 eV per atom
V: 108.9 Å³/cell

Unit cell a=4.691 b=4.691 c=4.948 alpha=90.00 beta=90.00 gamma=90.00
Last column: magnetic moment on the atom in μB.
Atoms (fractional coordinates):
Sc1 0.000 0.000 0.000  0.04
Re1 0.500 0.500 0.500  3.56
S1 0.000 0.500 0.000  -0.20
S2 0.500 0.000 0.000  -0.20
P1 0.000 0.000 0.500  -0.38

---

No. 6
Computed, not measured: a PBEsol-optimized structure of SrReP2S at the meta-GGA SCAN level of DFT.

Uncorrected formation energy: 2.092 eV per atom
V: 142.6 Å³/cell

Unit cell a=5.183 b=5.244 c=5.244 alpha=90.00 beta=90.00 gamma=90.00
Last column: magnetic moment on the atom in μB.
Atoms (fractional coordinates):
Re1 0.500 0.500 0.500  -3.84
S1 0.500 0.000 0.000  0.21
P1 0.000 0.000 0.500  0.33
P2 0.000 0.500 0.000  0.33
Sr1 0.000 0.000 0.000  -0.01